This record from the Open Quantum Materials Database describes a relaxed BaMgBiIr crystal. The functional is PBE.

Energy above the lowest structure with this stoichiometry: 0.090 eV/atom
Total moment: 0.0 μB per formula unit

Unit cell a=5.3049 b=5.3049 c=5.3049 alpha=60.00 beta=60.00 gamma=60.00
Closest atoms and distances in Å follow each position.
Positions (direct):
Ba (0.2500, 0.2500, 0.2500)  4 Bi 3.25, 4 Ir 3.25
Bi (0.5000, 0.5000, 0.5000)  4 Mg 3.25, 4 Ba 3.25
Ir (0.0000, 0.0000, 0.0000)  4 Mg 3.25, 4 Ba 3.25
Mg (0.7500, 0.7500, 0.7500)  4 Bi 3.25, 4 Ir 3.25

---

This record from the Open Quantum Materials Database describes a relaxed Mg2TlNi crystal. The functional is PBE.

Total moment: 0.0 μB per formula unit

Unit cell a=4.6720 b=4.6720 c=4.6720 alpha=60.00 beta=60.00 gamma=60.00
Closest atoms and distances in Å follow each position.
Positions (direct):
Mg (0.0000, 0.0000, 0.0000)  4 Ni 2.86, 4 Mg 2.86
Mg (0.7500, 0.7500, 0.7500)  4 Tl 2.86, 4 Mg 2.86
Ni (0.2500, 0.2500, 0.2500)  4 Tl 2.86, 4 Mg 2.86
Tl (0.5000, 0.5000, 0.5000)  4 Ni 2.86, 4 Mg 2.86

---

This record from the Open Quantum Materials Database describes a relaxed Li2Cu7 crystal. The functional is PBE.

Unit cell a=4.4387 b=4.4389 c=5.3348 alpha=86.15 beta=75.52 gamma=89.45
Closest atoms and distances in Å follow each position.
Positions (direct):
Cu (0.0000, 0.0000, 0.0000)  2 Li 2.38, 8 Cu 2.42-2.56
Cu (0.4452, 0.8873, 0.2190)  2 Li 2.38-2.54, 8 Cu 2.40-2.58
Cu (0.6674, 0.3313, 0.3380)  7 Cu 2.39-2.56, 3 Li 2.49-2.58
Cu (0.8892, 0.7804, 0.4408)  8 Cu 2.38-2.58, 2 Li 2.44-2.55
Cu (0.1108, 0.2196, 0.5592)  8 Cu 2.38-2.58, 2 Li 2.44-2.55
Cu (0.3326, 0.6687, 0.6620)  7 Cu 2.39-2.56, 3 Li 2.49-2.58
Cu (0.5548, 0.1127, 0.7810)  2 Li 2.38-2.54, 8 Cu 2.40-2.58
Li (0.2224, 0.4405, 0.1149)  8 Cu 2.38-2.58, 2 Li 2.51-2.60
Li (0.7776, 0.5595, 0.8851)  8 Cu 2.38-2.58, 2 Li 2.51-2.60

---

This record from the Open Quantum Materials Database describes a relaxed SrAcCdIn crystal. The functional is PBE.

Total moment: 0.0 μB per formula unit

Unit cell a=5.7656 b=5.7656 c=5.7656 alpha=60.00 beta=60.00 gamma=60.00
Closest atoms and distances in Å follow each position.
Positions (direct):
Ac (0.2500, 0.2500, 0.2500)  4 In 3.53, 4 Cd 3.53
Cd (0.0000, 0.0000, 0.0000)  4 Sr 3.53, 4 Ac 3.53
In (0.5000, 0.5000, 0.5000)  4 Ac 3.53, 4 Sr 3.53
Sr (0.7500, 0.7500, 0.7500)  4 In 3.53, 4 Cd 3.53

---

This record from the Open Quantum Materials Database describes a relaxed HoBeTc crystal. The functional is PBE.

Energy above the lowest structure with this stoichiometry: 0.000 eV/atom
Total moment: 0.0 μB per formula unit

Unit cell a=4.2159 b=4.2159 c=4.2159 alpha=60.00 beta=60.00 gamma=60.00
Closest atoms and distances in Å follow each position.
Positions (direct):
Be (0.0000, 0.0000, 0.0000)  4 Ho 2.58, 4 Tc 2.58
Ho (0.2500, 0.2500, 0.2500)  4 Be 2.58
Tc (0.7500, 0.7500, 0.7500)  4 Be 2.58

---

Taking the records one at a time from the top gives total DFT energy (no corrections) values of -3.933; -2.705; -3.280; -2.758; -5.880 eV per atom.